1.
Computed, not measured: a geometry-optimized MgSiSn2 structure at the GGA-PBE level of DFT.

Summary:
As for the energy relative to the lowest polymorph listed for this composition: 0 meV/atom. The value obtained for the formation energy without anion corrections is 0.22 eV/atom.

The structure in POSCAR format:
```
MgSiSn2
1.0
7.162 0.000 0.000
0.000 7.162 0.000
0.000 0.000 7.162
Mg Si Sn
4 4 8
Cartesian
0.000 0.000 0.000
0.000 3.581 3.581
3.581 0.000 3.581
3.581 3.581 0.000
0.000 0.000 3.581
0.000 3.581 0.000
3.581 0.000 0.000
3.581 3.581 3.581
1.791 1.791 1.791
1.791 1.791 5.372
1.791 5.372 1.791
1.791 5.372 5.372
5.372 1.791 1.791
5.372 1.791 5.372
5.372 5.372 1.791
5.372 5.372 5.372
```

2.
Computed, not measured: a geometry-optimized PdRhSN2 structure at the GGA-PBE level of DFT.

Summary:
As for the energy relative to the lowest polymorph listed for this composition: 0 meV/atom. The value obtained for the formation energy without anion corrections is 1.10 eV/atom.

The structure in POSCAR format:
```
PdRhSN2
1.0
3.719 0.000 0.000
0.000 3.719 0.000
0.000 0.000 5.414
Pd Rh S N
1 1 1 2
Cartesian
0.000 0.000 0.000
1.859 1.859 2.707
1.859 1.859 0.000
0.000 1.859 2.707
1.859 0.000 2.707
```

3.
Computed, not measured: a geometry-optimized BeAlSi2 structure at the GGA-PBE level of DFT.

Summary:
As for the energy relative to the lowest polymorph listed for this composition: 1 meV/atom. The value obtained for the formation energy without anion corrections is 0.31 eV/atom.

The structure in POSCAR format:
```
BeAlSi2
1.0
4.344 0.000 0.000
0.000 4.344 0.000
0.000 0.000 14.081
Be Al Si
4 4 8
Cartesian
0.000 0.000 0.000
0.000 2.172 3.520
2.172 0.000 10.561
2.172 2.172 7.041
0.000 0.000 7.041
0.000 2.172 10.561
2.172 0.000 3.520
2.172 2.172 0.000
0.753 1.086 1.760
1.086 2.925 5.280
1.086 3.590 12.321
1.419 1.086 8.801
2.925 3.258 8.801
3.258 0.753 12.321
3.258 1.419 5.280
3.590 3.258 1.760
```

4.
Computed, not measured: a geometry-optimized CuOs2Cl structure at the GGA-PBE level of DFT.

Summary:
As for the energy relative to the lowest polymorph listed for this composition: 341 meV/atom. The value obtained for the formation energy without anion corrections is 0.69 eV/atom.

The structure in POSCAR format:
```
CuOs2Cl
1.0
2.790 0.000 0.000
0.000 4.892 0.000
0.000 0.000 8.789
Cu Os Cl
2 4 2
Cartesian
0.000 0.000 0.000
1.395 2.446 0.000
0.000 0.000 4.419
0.000 2.446 6.566
1.395 0.000 6.566
1.395 2.446 4.419
0.000 2.446 1.985
1.395 0.000 1.985
```

5.
Computed, not measured: a geometry-optimized CdP2Au structure at the GGA-PBE level of DFT.

Summary:
As for the uncorrected energy: -55.7 eV/cell.

The structure in POSCAR format:
```
CdP2Au
1.0
5.270 0.000 0.000
0.000 5.270 0.000
0.000 0.000 13.347
Cd P Au
4 8 4
Cartesian
0.000 0.000 0.000
0.000 2.635 3.337
2.635 0.000 10.010
2.635 2.635 6.673
1.129 1.317 8.342
1.317 3.764 11.678
1.317 4.140 5.005
1.506 1.317 1.668
3.764 3.952 1.668
3.952 1.129 5.005
3.952 1.506 11.678
4.140 3.952 8.342
0.000 0.000 6.673
0.000 2.635 10.010
2.635 0.000 3.337
2.635 2.635 0.000
```

6.
Computed, not measured: a geometry-optimized Ce3Sm4Se8 structure at the GGA-PBE level of DFT.

Summary:
The value obtained for the formation energy without anion corrections is -1.86 eV/atom.

The structure in POSCAR format:
```
Ce3Sm4Se8
1.0
5.908 -5.911 0.000
5.908 5.911 0.000
-5.886 0.000 5.910
Ce Sm Se
3 4 8
Cartesian
0.000 0.000 0.000
2.954 2.956 0.000
2.954 -2.956 0.000
0.011 2.956 2.955
0.011 -2.956 2.955
5.908 0.000 0.000
2.965 0.000 2.955
-0.013 0.000 2.963
2.965 2.972 2.955
-2.918 0.000 5.896
5.908 2.943 0.000
5.908 -2.943 0.000
8.849 0.000 0.014
2.965 -2.972 2.955
5.944 0.000 2.947
```

7.
Computed, not measured: a geometry-optimized LaScPa structure at the GGA-PBE level of DFT.

Summary:
As for the energy relative to the lowest polymorph listed for this composition: 0 meV/atom.

The structure in POSCAR format:
```
LaScPa
1.0
3.326 0.000 0.000
0.000 3.326 0.000
0.000 0.000 15.093
La Sc Pa
2 2 2
Cartesian
0.000 0.000 0.000
1.663 1.663 7.546
0.000 0.000 10.401
1.663 1.663 2.855
0.000 0.000 5.089
1.663 1.663 12.635
```

8.
Computed, not measured: a geometry-optimized Nb3CoSi structure at the GGA-PBE level of DFT.

Summary:
As for the energy relative to the lowest polymorph listed for this composition: 344 meV/atom. The value obtained for the formation energy without anion corrections is 0.99 eV/atom.

The structure in POSCAR format:
```
Nb3CoSi
1.0
4.608 0.000 0.000
0.000 4.608 0.000
0.000 0.000 4.608
Nb Co Si
3 1 1
Cartesian
0.000 0.000 2.304
0.000 2.304 0.000
2.304 0.000 0.000
2.304 2.304 2.304
0.000 0.000 0.000
```

9.
Computed, not measured: a geometry-optimized CsTlCuF6 structure at the GGA-PBE level of DFT.

Summary:
The value obtained for the formation energy without anion corrections is -1.98 eV/atom.

The structure in POSCAR format:
```
CsTlCuF6
1.0
-3.791 4.030 5.438
3.791 -4.030 5.438
3.791 4.030 -5.438
Cs Tl Cu F
2 2 2 12
Cartesian
0.000 2.015 0.997
3.791 2.015 4.441
3.791 0.000 0.000
0.000 0.000 5.438
1.895 2.015 -2.719
1.895 -2.015 2.719
3.791 -2.015 3.138
2.110 -0.554 1.285
5.471 -0.554 1.285
2.110 3.476 -1.285
1.680 -0.554 4.154
3.791 2.015 1.058
0.000 2.015 4.380
2.110 4.584 1.285
1.680 0.554 6.723
-1.680 4.584 4.154
1.680 4.584 4.154
0.000 6.046 2.301
```

10.
Computed, not measured: a geometry-optimized Tl2FeAs structure at the GGA-PBE level of DFT.

Summary:
As for the energy relative to the lowest polymorph listed for this composition: 424 meV/atom.

The structure in POSCAR format:
```
Tl2FeAs
1.0
4.033 0.000 0.000
0.000 4.934 0.000
0.000 0.000 8.737
Tl Fe As
4 2 2
Cartesian
0.000 0.000 1.990
0.000 0.000 6.747
2.017 2.467 1.990
2.017 2.467 6.747
0.000 2.467 0.000
2.017 0.000 0.000
0.000 2.467 4.369
2.017 0.000 4.369
```

11.
Computed, not measured: a geometry-optimized HfCd2Ga2 structure at the GGA-PBE level of DFT.

Summary:
As for the energy relative to the lowest polymorph listed for this composition: 173 meV/atom.

The structure in POSCAR format:
```
HfCd2Ga2
1.0
3.604 0.000 0.000
0.000 3.604 0.000
0.000 0.000 16.693
Hf Cd Ga
2 4 4
Cartesian
0.000 0.000 0.000
1.802 1.802 8.347
0.000 0.000 6.597
0.000 0.000 10.096
1.802 1.802 1.750
1.802 1.802 14.943
0.000 1.802 4.173
0.000 1.802 12.520
1.802 0.000 4.173
1.802 0.000 12.520
```

12.
Computed, not measured: a geometry-optimized ZnFeRu2 structure at the GGA-PBE level of DFT.

Summary:
As for the uncorrected energy: -55.6 eV/cell.

The structure in POSCAR format:
```
ZnFeRu2
1.0
8.678 0.000 0.000
0.000 2.689 0.000
-0.879 0.000 4.619
Zn Fe Ru
2 2 4
Cartesian
0.000 0.000 0.000
4.339 1.345 0.000
-0.439 1.345 2.310
3.900 0.000 2.310
1.443 0.000 3.411
2.017 1.345 1.208
5.782 1.345 3.411
6.356 0.000 1.208
```

These records have size of the total moment values of 0.000; 0.088; 0.000; 0.153; 0.000; 0.242; 0.000; 0.000; 0.111; 0.706; 0.000; 0.598 μB per atom, in the order they appear.